This record from OQMD via LeMat-Bulk describes a relaxed YEr2Ni9 crystal. The functional is GGA-PBE.

Calculated values
Calculated total energy ... -5.905 eV/atom

CIF file:
```
data_YEr2Ni9
_chemical_formula_sum 'Y3 Er6 Ni27'
_cell_length_a 4.9267
_cell_length_b 4.9267
_cell_length_c 24.2403
_cell_angle_alpha 90.00
_cell_angle_beta 90.00
_cell_angle_gamma 120.00
_symmetry_space_group_name_H-M 'R -3 m'
_symmetry_Int_Tables_number 166
_symmetry_space_group_name_Hall '-R 3 2"'
loop_
_atom_site_label
_atom_site_type_symbol
_atom_site_fract_x
_atom_site_fract_y
_atom_site_fract_z
Y1 Y 0.0000 0.0000 0.0000
Er1 Er 0.0000 0.0000 0.1391
Ni1 Ni 0.0000 0.0000 0.3331
Ni2 Ni 0.0000 0.0000 0.5000
Ni3 Ni 0.0016 0.5008 0.9173
```